1.
VASP calculation (GGA-PBE) on a relaxed structure of CsRb2Cd2As2.

a b c (Å): 15.9464 15.9464 15.9464
angles (deg): 16.81 16.81 16.81
Sites, in units of the cell vectors:
Cs  0.0000  0.0000  0.0000
Rb  0.1190  0.1190  0.1190
Rb  0.8810  0.8810  0.8810
Cd  0.3957  0.3957  0.3957
Cd  0.6043  0.6043  0.6043
As  0.2706  0.2706  0.2706
As  0.7294  0.7294  0.7294

## Properties
Space group: R-3m, No. 166
E_form, eV per atom: -0.3367
Electronic total energy, eV/atom: -2.325


2.
VASP calculation (GGA-PBE) on a relaxed structure of Pm6Tl3I.

a b c (Å): 9.2210 9.2210 7.6205
angles (deg): 90.00 90.00 98.27
Sites, in units of the cell vectors:
Pm  0.0061  0.9939  0.5000
Pm  0.1767  0.5237  0.0475
Pm  0.1855  0.3126  0.6609
Pm  0.3108  0.6892  0.5628
Pm  0.3126  0.1855  0.1609
Pm  0.4763  0.8233  0.0475
Pm  0.5237  0.1767  0.5475
Pm  0.6874  0.8145  0.6609
Pm  0.6892  0.3108  0.0628
Pm  0.8145  0.6874  0.1609
Pm  0.8233  0.4763  0.5475
Pm  0.9939  0.0061  0.0000
Tl  0.0092  0.7074  0.7764
Tl  0.2926  0.9908  0.7764
Tl  0.4994  0.5006  0.8259
Tl  0.5006  0.4994  0.3259
Tl  0.7074  0.0092  0.2764
Tl  0.9908  0.2926  0.2764
I  0.1738  0.8262  0.2427
I  0.8262  0.1738  0.7427

## Properties
Space group: Cmc2_1, No. 36
E_form (uncorrected), kJ/mol of atoms: -24.66
Electronic total energy, eV/atom: -3.971


3.
VASP calculation (GGA-PBE) on a relaxed structure of CaLaPrDy.

a b c (Å): 5.9000 5.9000 5.9000
angles (deg): 60.00 60.00 60.00
Sites, in units of the cell vectors:
Ca  0.0000  0.0000  0.0000
La  0.2500  0.2500  0.2500
Pr  0.7500  0.7500  0.7500
Dy  0.5000  0.5000  0.5000

## Properties
Space group: F-43m, No. 216
E_form, eV per atom: 0.1065
Electronic total energy, eV/atom: -3.971
Relative energy among the computed polymorphs, meV/atom: 63


4.
VASP calculation (GGA-PBE) on a relaxed structure of Ba2In2Sb3.

a b c (Å): 9.1879 9.1879 14.7645
angles (deg): 124.88 124.88 31.00
Sites, in units of the cell vectors:
Ba  0.1032  0.1032  0.4592
Ba  0.2349  0.2349  0.8354
Ba  0.7651  0.7651  0.1646
Ba  0.8968  0.8968  0.5408
In  0.0961  0.0961  0.1646
In  0.4462  0.4462  0.1871
In  0.5538  0.5538  0.8129
In  0.9039  0.9039  0.8354
Sb  0.1100  0.1100  0.9610
Sb  0.3475  0.3475  0.6906
Sb  0.4226  0.4226  0.3677
Sb  0.5774  0.5774  0.6323
Sb  0.6525  0.6525  0.3094
Sb  0.8900  0.8900  0.0390

## Properties
Space group: C2/m, No. 12
E_form (uncorrected), kJ/mol of atoms: -61.17
Electronic total energy, eV/atom: -3.732


5.
VASP calculation (GGA-PBE) on a relaxed structure of NiTe2Ru.

a b c (Å): 3.9413 3.9413 6.8292
angles (deg): 106.87 106.87 59.95
Sites, in units of the cell vectors:
Ni  0.0000  0.0000  0.0000
Te  0.2762  0.2762  0.8307
Te  0.4596  0.4596  0.3752
Ru  0.7154  0.7154  0.1446

## Properties
Space group: Cm, No. 8
E_form (uncorrected), kJ/mol of atoms: -0.15
Electronic total energy, eV/atom: -5.337
Relative energy among the computed polymorphs, meV/atom: 0


6.
VASP calculation (GGA-PBE) on a relaxed structure of ScAgGe.

a b c (Å): 4.0383 4.0383 7.0158
angles (deg): 90.00 90.00 90.00
Sites, in units of the cell vectors:
Sc  0.2500  0.2500  0.1658
Sc  0.7500  0.7500  0.8342
Ag  0.2500  0.7500  0.5000
Ag  0.7500  0.2500  0.5000
Ge  0.2500  0.2500  0.7747
Ge  0.7500  0.7500  0.2253

## Properties
Space group: P4/nmm, No. 129
E_form, eV per atom: -0.4738
Electronic total energy, eV/atom: -5.074


7.
VASP calculation (GGA-PBE) on a relaxed structure of RhAu3I.

a b c (Å): 5.0753 5.0753 5.0753
angles (deg): 90.00 90.00 90.00
Sites, in units of the cell vectors:
Rh  0.0000  0.0000  0.0000
Au  0.0000  0.0000  0.5000
Au  0.0000  0.5000  0.0000
Au  0.5000  0.0000  0.0000
I  0.5000  0.5000  0.5000

## Properties
Space group: Pm-3m, No. 221
E_form (uncorrected), kJ/mol of atoms: 86.05
Electronic total energy, eV/atom: -2.855
Relative energy among the computed polymorphs, meV/atom: 0


8.
VASP calculation (GGA-PBE) on a relaxed structure of HoCoH6.

a b c (Å): 4.3810 4.3810 4.3810
angles (deg): 58.07 58.07 58.07
Sites, in units of the cell vectors:
Ho  0.0000  0.0000  0.0000
Co  0.5000  0.5000  0.5000
H  0.0783  0.5967  0.5967
H  0.4033  0.4033  0.9217
H  0.4033  0.9217  0.4033
H  0.5967  0.0783  0.5967
H  0.5967  0.5967  0.0783
H  0.9217  0.4033  0.4033

## Properties
Space group: R-3m, No. 166
Electronic total energy, eV/atom: -4.323


9.
VASP calculation (GGA-PBE) on a relaxed structure of Al2In2Bi.

a b c (Å): 8.1997 8.1997 3.6460
angles (deg): 90.00 90.00 90.00
Sites, in units of the cell vectors:
Al  0.1178  0.3822  0.0000
Al  0.3822  0.8822  0.0000
Al  0.6178  0.1178  0.0000
Al  0.8822  0.6178  0.0000
In  0.1818  0.6818  0.5000
In  0.3182  0.1818  0.5000
In  0.6818  0.8182  0.5000
In  0.8182  0.3182  0.5000
Bi  0.0000  0.0000  0.0000
Bi  0.5000  0.5000  0.0000

## Properties
Space group: P4/mbm, No. 127
E_form, eV per atom: 0.1683
Electronic total energy, eV/atom: -3.200
Relative energy among the computed polymorphs, meV/atom: 0


10.
VASP calculation (GGA-PBE) on a relaxed structure of Ba2PmNbN4.

a b c (Å): 7.3033 7.3033 7.3033
angles (deg): 121.65 118.89 89.55
Sites, in units of the cell vectors:
Ba  0.0000  0.0000  0.0000
Ba  0.5000  0.0000  0.0000
Ba  0.5000  0.0000  0.5000
Ba  0.5000  0.5000  0.5000
Pm  0.0000  0.5000  0.5000
Pm  0.5000  0.5000  0.0000
Nb  0.0000  0.0000  0.5000
Nb  0.0000  0.5000  0.0000
N  0.1923  0.7423  0.4500
N  0.2070  0.2292  0.5222
N  0.2070  0.6848  0.9778
N  0.2077  0.2577  0.9500
N  0.7923  0.7423  0.0500
N  0.7930  0.3152  0.0222
N  0.7930  0.7708  0.4778
N  0.8077  0.2577  0.5500

## Properties
Space group: Imma, No. 74
E_form (uncorrected), kJ/mol of atoms: -67.35
Electronic total energy, eV/atom: -7.194


Question: What is the electronic total energy in the first record?
Answer: -2.325 eV/atom


Question: What is the electronic total energy in the eighth record?
Answer: -4.323 eV/atom